# CaV4Ag2O12 | the Alexandria database | GGA-PBEsol | optimized geometry
# Size of the total moment (μB/f.u.): 0.00
# Uncorrected energy (eV per cell): -300.8
data_CaV4Ag2O12
_cell_length_a 10.249
_cell_length_b 10.249
_cell_length_c 4.936
_cell_angle_alpha 90.00
_cell_angle_beta 90.00
_cell_angle_gamma 90.00
_symmetry_space_group_name_H-M 'P 4/n b m'
_symmetry_Int_Tables_number 125
loop_
_symmetry_equiv_pos_as_xyz
'x,y,z'
'-x,-y,-z'
'-y+1/2,x,z'
'y+1/2,-x,-z'
'-x+1/2,-y+1/2,z'
'x+1/2,y+1/2,-z'
'y,-x+1/2,z'
'-y,x+1/2,-z'
'x,-y+1/2,-z'
'-x,y+1/2,z'
'-y+1/2,-x+1/2,-z'
'y+1/2,x+1/2,z'
'-x+1/2,y,-z'
'x+1/2,-y,z'
'y,x,-z'
'-y,-x,z'
loop_
_atom_site_label
_atom_site_fract_x
_atom_site_fract_y
_atom_site_fract_z
Ca1 0.250 0.250 0.000
V1 0.026 0.750 0.500
Ag1 0.000 0.000 0.000
O1 0.061 0.178 0.258
O2 0.130 0.630 0.652